No. 1
DFT (GGA-PBE) results for an optimized crystal structure of La4ThTl5.

Values from the calculation:
Energy of formation from the pure elements: -0.360 eV/atom
E: -0.3128 Ry per atom
Symmetry: No. 123

a = 3.635 Å, b = 3.635 Å, c = 23.155 Å
α = 90.00°, β = 90.00°, γ = 90.00°
Atoms (fractional coordinates):
La: 0.000 0.000 0.101
La: 0.000 0.000 0.302
La: 0.000 0.000 0.698
La: 0.000 0.000 0.899
Th: 0.000 0.000 0.500
Tl: 0.500 0.500 0.000
Tl: 0.500 0.500 0.201
Tl: 0.500 0.500 0.402
Tl: 0.500 0.500 0.598
Tl: 0.500 0.500 0.799



No. 2
DFT (GGA-PBE) results for an optimized crystal structure of NaSr3Pt.

Values from the calculation:
Polymorph energy (0 for the lowest one): 25.2 kJ/mol of atoms
Energy of formation from the pure elements: -0.176 eV/atom
E: -0.1953 Ry per atom
Symmetry: No. 194

a = 5.173 Å, b = 5.173 Å, c = 20.406 Å
α = 90.00°, β = 90.00°, γ = 120.00°
Atoms (fractional coordinates):
Na: 0.000 0.000 0.000
Na: 0.000 0.000 0.500
Sr: 0.000 0.000 0.250
Sr: 0.000 0.000 0.750
Sr: 0.333 0.667 0.107
Sr: 0.333 0.667 0.393
Sr: 0.667 0.333 0.607
Sr: 0.667 0.333 0.893
Pt: 0.333 0.667 0.250
Pt: 0.667 0.333 0.750



No. 3
DFT (GGA-PBE) results for an optimized crystal structure of ZrRhW4.

Values from the calculation:
Energy of formation from the pure elements: 0.204 eV/atom
E: -0.8145 Ry per atom
Symmetry: No. 216

a = 5.312 Å, b = 5.312 Å, c = 5.312 Å
α = 60.00°, β = 60.00°, γ = 60.00°
Atoms (fractional coordinates):
Zr: 0.000 0.000 0.000
Rh: 0.250 0.250 0.250
W: 0.121 0.626 0.626
W: 0.626 0.121 0.626
W: 0.626 0.626 0.121
W: 0.626 0.626 0.626



No. 4
DFT (GGA-PBE) results for an optimized crystal structure of Pm2Ga6Au3.

Values from the calculation:
Energy of formation from the pure elements: -0.551 eV/atom
E: -0.2910 Ry per atom
Symmetry: No. 189

a = 7.915 Å, b = 7.915 Å, c = 4.208 Å
α = 90.00°, β = 90.00°, γ = 120.00°
Atoms (fractional coordinates):
Pm: 0.333 0.667 0.000
Pm: 0.667 0.333 0.000
Ga: 0.000 0.188 0.000
Ga: 0.000 0.693 0.500
Ga: 0.188 0.000 0.000
Ga: 0.307 0.307 0.500
Ga: 0.693 0.000 0.500
Ga: 0.812 0.812 0.000
Au: 0.000 0.371 0.500
Au: 0.371 0.000 0.500
Au: 0.629 0.629 0.500



No. 5
DFT (GGA-PBE) results for an optimized crystal structure of EuYBi2.

Values from the calculation:
Polymorph energy (0 for the lowest one): 13.3 kJ/mol of atoms
Energy of formation from the pure elements: -0.674 eV/atom
E: -0.4998 Ry per atom
Symmetry: No. 225

a = 7.940 Å, b = 7.940 Å, c = 7.940 Å
α = 90.00°, β = 90.00°, γ = 90.00°
Atoms (fractional coordinates):
Eu: 0.000 0.000 0.000
Eu: 0.000 0.500 0.500
Eu: 0.500 0.000 0.500
Eu: 0.500 0.500 0.000
Y: 0.000 0.000 0.500
Y: 0.000 0.500 0.000
Y: 0.500 0.000 0.000
Y: 0.500 0.500 0.500
Bi: 0.250 0.250 0.250
Bi: 0.250 0.250 0.750
Bi: 0.250 0.750 0.250
Bi: 0.250 0.750 0.750
Bi: 0.750 0.250 0.250
Bi: 0.750 0.250 0.750
Bi: 0.750 0.750 0.250
Bi: 0.750 0.750 0.750



No. 6
DFT (GGA-PBE) results for an optimized crystal structure of Pd2SBr2.

Values from the calculation:
ΔE_f (raw): 0.23 eV/f.u.
Polymorph energy (0 for the lowest one): 0.0 kJ/mol of atoms
E: -0.2592 Ry per atom
Symmetry: No. 127

a = 6.781 Å, b = 6.781 Å, c = 4.871 Å
α = 90.00°, β = 90.00°, γ = 90.00°
Atoms (fractional coordinates):
Pd: 0.241 0.259 0.000
Pd: 0.259 0.759 0.000
Pd: 0.741 0.241 0.000
Pd: 0.759 0.741 0.000
S: 0.000 0.000 0.000
S: 0.500 0.500 0.000
Br: 0.170 0.330 0.500
Br: 0.330 0.830 0.500
Br: 0.670 0.170 0.500
Br: 0.830 0.670 0.500



No. 7
DFT (GGA-PBE) results for an optimized crystal structure of Hg2AuO.

Values from the calculation:
ΔE_f (raw): 0.23 eV/f.u.
E: -0.1581 Ry per atom
Symmetry: No. 122

a = 6.725 Å, b = 6.725 Å, c = 7.111 Å
α = 90.00°, β = 90.00°, γ = 90.00°
Atoms (fractional coordinates):
Hg: 0.194 0.750 0.125
Hg: 0.250 0.194 0.875
Hg: 0.250 0.306 0.375
Hg: 0.306 0.750 0.625
Hg: 0.694 0.250 0.625
Hg: 0.750 0.694 0.375
Hg: 0.750 0.806 0.875
Hg: 0.806 0.250 0.125
Au: 0.000 0.000 0.500
Au: 0.000 0.500 0.750
Au: 0.500 0.000 0.250
Au: 0.500 0.500 0.000
O: 0.000 0.000 0.000
O: 0.000 0.500 0.250
O: 0.500 0.000 0.750
O: 0.500 0.500 0.500



No. 8
DFT (GGA-PBE) results for an optimized crystal structure of FeCo2P.

Values from the calculation:
Energy of formation from the pure elements: -0.155 eV/atom
E: -0.5274 Ry per atom
Symmetry: No. 119

a = 3.464 Å, b = 3.464 Å, c = 7.064 Å
α = 90.00°, β = 90.00°, γ = 90.00°
Atoms (fractional coordinates):
Fe: 0.000 0.000 0.000
Fe: 0.500 0.500 0.500
Co: 0.000 0.000 0.500
Co: 0.000 0.500 0.250
Co: 0.500 0.000 0.750
Co: 0.500 0.500 0.000
P: 0.000 0.500 0.750
P: 0.500 0.000 0.250



No. 9
DFT (GGA-PBE) results for an optimized crystal structure of AsRh3.

Values from the calculation:
Energy of formation from the pure elements: -0.083 eV/atom
E: -0.4968 Ry per atom
Symmetry: No. 10

a = 2.857 Å, b = 4.009 Å, c = 5.295 Å
α = 90.00°, β = 104.25°, γ = 90.00°
Atoms (fractional coordinates):
As: 0.000 0.000 0.000
Rh: 0.000 0.000 0.500
Rh: 0.374 0.500 0.239
Rh: 0.626 0.500 0.761



No. 10
DFT (GGA-PBE) results for an optimized crystal structure of SrZn2FeSi.

Values from the calculation:
ΔE_f (raw): -0.93 eV/f.u.
E: -0.2800 Ry per atom
Symmetry: No. 123

a = 4.730 Å, b = 4.730 Å, c = 4.370 Å
α = 90.00°, β = 90.00°, γ = 90.00°
Atoms (fractional coordinates):
Sr: 0.000 0.000 0.000
Zn: 0.000 0.500 0.500
Zn: 0.500 0.000 0.500
Fe: 0.500 0.500 0.500
Si: 0.500 0.500 0.000